Material: Pm3Ga6Co5
Method: DFT, PBE
State: relaxed

Calculated values
E_form, meV/atom: -379
Fermi-level density of states, states/eV/cell: 28.1
Space group: No. 59

The structure in POSCAR format:
```
Pm3Ga6Co5
1.0
4.147 0.000 0.000
0.000 9.107 0.000
0.000 0.000 12.422
Pm Ga Co
6 12 10
Cartesian
0.000 2.267 8.629
2.074 6.840 2.418
2.074 6.840 10.004
0.000 2.414 0.000
2.074 6.693 6.211
0.000 2.267 3.793
0.000 8.964 10.567
2.074 0.143 8.066
2.074 3.733 10.196
2.074 5.183 0.000
0.000 3.924 6.211
0.000 5.373 8.437
0.000 5.373 3.985
2.074 8.825 0.000
0.000 8.964 1.855
2.074 3.733 2.226
0.000 0.282 6.211
2.074 0.143 4.356
0.000 4.962 11.100
0.000 7.924 8.219
0.000 7.080 0.000
2.074 4.145 7.534
2.074 2.027 6.211
0.000 4.962 1.322
2.074 4.145 4.889
0.000 7.924 4.203
2.074 1.183 10.414
2.074 1.183 2.008
```

Material: Pm4Ga2Co
Method: DFT, PBE
State: relaxed

Calculated values
E_form, meV/atom: -176
Fermi-level density of states, states/eV/cell: 4.8
Space group: No. 139

The structure in POSCAR format:
```
Pm4Ga2Co
1.0
-2.748 -1.959 3.819
4.077 -2.609 1.595
1.340 8.132 1.735
Co Ga Pm
1 2 4
Cartesian
0.000 0.000 0.000
1.166 -0.822 3.818
1.504 4.386 3.332
1.935 1.422 5.523
0.734 2.142 1.627
2.039 -1.305 0.798
-1.374 -0.980 1.910
```

Material: Pm2Ga3CoPt4
Method: DFT, PBE
State: relaxed

Calculated values
E_form, meV/atom: -835
Fermi-level density of states, states/eV/cell: 6.7
Space group: No. 115

The structure in POSCAR format:
```
Pm2Ga3CoPt4
1.0
4.145 0.000 0.000
0.000 4.145 0.000
0.000 0.000 10.877
Pm Ga Co Pt
2 3 1 4
Cartesian
2.073 0.000 2.792
0.000 2.073 8.085
0.000 0.000 5.439
2.073 0.000 9.400
0.000 2.073 1.478
2.073 2.073 5.439
2.073 2.073 0.000
0.000 0.000 0.000
2.073 0.000 6.910
0.000 2.073 3.967
```

Material: PmPuGaCo
Method: DFT, PBE
State: relaxed

Calculated values
E_form, meV/atom: -104
Fermi-level density of states, states/eV/cell: 6.7
Space group: No. 216

The structure in POSCAR format:
```
PmPuGaCo
1.0
4.980 0.000 0.000
2.490 4.312 0.000
2.490 1.437 4.066
Pm Co Ga Pu
1 1 1 1
Cartesian
4.980 2.875 2.033
7.469 4.312 3.049
2.490 1.437 1.016
0.000 0.000 0.000
```

Material: Pm2Ga2CoRu
Method: DFT, PBE
State: relaxed

Calculated values
E_form, meV/atom: -470
Fermi-level density of states, states/eV/cell: 9.5
Space group: No. 72

The structure in POSCAR format:
```
Pm2Ga2CoRu
1.0
6.097 0.000 0.000
0.000 6.153 0.000
-3.048 -3.076 6.691
Pm Ga Co Ru
4 4 2 2
Cartesian
1.498 0.000 2.028
1.550 3.076 4.663
-1.550 0.000 4.663
4.599 3.076 2.028
4.492 0.000 1.268
1.605 3.076 1.268
1.444 0.000 5.422
-1.444 3.076 5.422
3.048 4.615 0.000
3.048 1.538 0.000
0.000 4.615 0.000
0.000 1.538 0.000
```

Material: Pm2Ga4CoRu3
Method: DFT, PBE
State: relaxed

Calculated values
E_form, meV/atom: -385
Fermi-level density of states, states/eV/cell: 5.1
Space group: No. 115

The structure in POSCAR format:
```
Pm2Ga4CoRu3
1.0
-2.756 3.276 -0.002
-1.782 -1.501 -3.592
-6.395 -5.376 5.418
Pm Ga Co Ru
2 4 1 3
Cartesian
-3.085 0.203 1.445
-5.578 -4.691 2.175
-2.269 0.888 -1.797
0.000 0.000 0.000
-5.340 -1.692 3.355
-3.324 -2.796 0.265
-5.466 -1.800 0.912
-3.197 -2.688 2.709
-6.938 -3.036 4.710
-1.726 -1.452 -1.089
```

Material: PmGa3CoRu
Method: DFT, PBE
State: relaxed

Calculated values
E_form, meV/atom: -298
Fermi-level density of states, states/eV/cell: 5.3
Space group: No. 63

The structure in POSCAR format:
```
PmGa3CoRu
1.0
-2.812 -4.418 -2.366
4.795 -4.822 3.305
-5.546 2.163 2.554
Pm Ga Co Ru
2 6 2 2
Cartesian
-3.879 -3.453 0.590
0.315 -3.624 2.903
-1.928 -1.201 1.045
1.201 -1.208 0.828
2.187 -5.823 1.294
-0.205 -3.417 -0.355
3.593 -3.614 2.477
-1.636 -5.876 2.448
-1.318 -3.753 5.085
-2.246 -3.324 -1.592
-3.358 -1.314 2.955
-0.206 -5.763 0.538
```

Material: PmScGaCo
Method: DFT, PBE
State: relaxed

Calculated values
E_form, meV/atom: -286
Fermi-level density of states, states/eV/cell: 2.5
Space group: No. 216

The structure in POSCAR format:
```
PmScGaCo
1.0
-1.732 -0.087 4.528
2.210 -2.671 3.390
2.454 2.168 3.576
Sc Co Ga Pm
1 1 1 1
Cartesian
0.000 0.000 0.000
2.199 -0.442 8.621
0.733 -0.147 2.874
1.466 -0.295 5.747
```

Material: PmSmGaCo
Method: DFT, PBE
State: relaxed

Calculated values
E_form, meV/atom: -233
Fermi-level density of states, states/eV/cell: 2.9
Space group: No. 216

The structure in POSCAR format:
```
PmSmGaCo
1.0
5.052 0.000 0.000
2.526 4.375 0.000
2.526 1.458 4.125
Co Ga Sm Pm
1 1 1 1
Cartesian
0.000 0.000 0.000
5.052 2.917 2.063
7.578 4.375 3.094
2.526 1.458 1.031
```

Material: PmSmGaCo
Method: DFT, PBE
State: relaxed

Calculated values
E_form, meV/atom: -320
Fermi-level density of states, states/eV/cell: 3.8
Space group: No. 38

The structure in POSCAR format:
```
PmSmGaCo
1.0
3.950 0.000 0.000
0.000 4.321 0.000
-1.975 0.000 5.487
Pm Sm Ga Co
1 1 1 1
Cartesian
0.000 0.000 1.506
1.975 2.160 3.927
1.975 2.160 0.681
0.000 0.000 4.861
```

Material: PmYGaCo
Method: DFT, PBE
State: relaxed

Calculated values
E_form, meV/atom: -274
Fermi-level density of states, states/eV/cell: 2.7
Space group: No. 216

The structure in POSCAR format:
```
PmYGaCo
1.0
-2.265 2.544 -3.667
1.551 -0.515 -4.730
-2.860 -2.413 -3.323
Y Co Ga Pm
1 1 1 1
Cartesian
0.000 0.000 0.000
-0.893 -0.096 -2.930
-2.680 -0.288 -8.790
-1.787 -0.192 -5.860
```

Material: PmYGaCo
Method: DFT, PBE
State: relaxed

Calculated values
E_form, meV/atom: -346
Fermi-level density of states, states/eV/cell: 4.1
Space group: No. 38

The structure in POSCAR format:
```
PmYGaCo
1.0
-0.614 -0.935 -3.911
3.571 -2.295 -0.012
-2.426 -3.793 3.404
Pm Y Ga Co
1 1 1 1
Cartesian
-0.784 -1.222 0.415
-0.487 -4.680 -0.920
1.143 -2.139 -1.784
-2.381 -3.711 1.262
```

> Look up the Fermi-level density of states of the twelfth one.

4.1 states/eV/cell

> What is the E_form in the ninth record?

-233 meV/atom

> Which value of E_form does entry 6 give?

-385 meV/atom

> Which of these has the lowest E_form?

Pm2Ga3CoPt4